Here is crystalline PmSmPd at its relaxed geometry from the Alexandria database. Energies are from PBE-GGA.

Calculated values
As for the calculated volume: 27.191 Å³ per atom. As for the total magnetization: 1.8 μB per cell. Its formation energy from the elements is -1.4 eV per formula unit. Its relative energy among the computed polymorphs is 0.000 eV per atom.

```
data_PmSmPd
_space_group_name_H-M_alt 'I 4 m m'
_space_group_IT_number 107
_space_group_name_Hall 'I 4 -2'
_cell_length_a 3.6561
_cell_length_b 3.6561
_cell_length_c 12.2050
_cell_angle_alpha 90.00
_cell_angle_beta 90.00
_cell_angle_gamma 90.00
loop_
_atom_site_label
_atom_site_fract_x
_atom_site_fract_y
_atom_site_fract_z
Pm1 0.0000 0.0000 0.0000
Sm1 0.0000 0.0000 0.7194
Pd1 0.0000 0.0000 0.3572
```

---

Here is crystalline PmSmTcPd at its relaxed geometry from the Alexandria database. Energies are from PBE-GGA.

Calculated values
As for the calculated volume: 22.036 Å³ per atom. As for the total magnetization: 0.0 μB per cell. Its formation energy from the elements is -0.9 eV per formula unit.

```
data_PmSmTcPd
_space_group_name_H-M_alt 'F -4 3 m'
_space_group_IT_number 216
_space_group_name_Hall 'F -4 2 3'
_cell_length_a 7.0646
_cell_length_b 7.0646
_cell_length_c 7.0646
_cell_angle_alpha 90.00
_cell_angle_beta 90.00
_cell_angle_gamma 90.00
loop_
_atom_site_label
_atom_site_fract_x
_atom_site_fract_y
_atom_site_fract_z
Pm1 0.0000 0.0000 0.0000
Sm1 0.0000 0.0000 0.5000
Tc1 0.2500 0.2500 0.2500
Pd1 0.2500 0.2500 0.7500
```

---

Here is crystalline PmSmTlPd at its relaxed geometry from the Alexandria database. Energies are from PBE-GGA.

Calculated values
As for the calculated volume: 26.262 Å³ per atom. As for the total magnetization: 0.0 μB per cell. Its formation energy from the elements is -2.0 eV per formula unit.

```
data_PmSmTlPd
_space_group_name_H-M_alt 'F -4 3 m'
_space_group_IT_number 216
_space_group_name_Hall 'F -4 2 3'
_cell_length_a 7.4900
_cell_length_b 7.4900
_cell_length_c 7.4900
_cell_angle_alpha 90.00
_cell_angle_beta 90.00
_cell_angle_gamma 90.00
loop_
_atom_site_label
_atom_site_fract_x
_atom_site_fract_y
_atom_site_fract_z
Pm1 0.0000 0.0000 0.0000
Sm1 0.0000 0.0000 0.5000
Tl1 0.2500 0.2500 0.7500
Pd1 0.2500 0.2500 0.2500
```

---

Here is crystalline Pm12Sn5Pd2 at its relaxed geometry from the Alexandria database. Energies are from PBE-GGA.

Calculated values
As for the calculated volume: 33.896 Å³ per atom. As for the total magnetization: 0.7 μB per cell. Its formation energy from the elements is -8.2 eV per formula unit.

```
data_Pm12Sn5Pd2
_space_group_name_H-M_alt 'C 1 2/m 1'
_space_group_IT_number 12
_space_group_name_Hall '-C 2y'
_cell_length_a 17.6485
_cell_length_b 7.6489
_cell_length_c 9.8325
_cell_angle_alpha 90.00
_cell_angle_beta 103.97
_cell_angle_gamma 90.00
loop_
_atom_site_label
_atom_site_fract_x
_atom_site_fract_y
_atom_site_fract_z
Pm1 0.0067 0.0000 0.2739
Pm2 0.0117 0.5000 0.8277
Pm3 0.1492 0.2547 0.5761
Pm4 0.1619 0.2476 0.0906
Sn1 0.0000 0.5000 0.5000
Sn2 0.1838 0.0000 0.8363
Sn3 0.1980 0.0000 0.3611
Pd1 0.0000 0.1843 0.0000
```

---

Here is crystalline Pm6Sn5Pd at its relaxed geometry from the Alexandria database. Energies are from PBE-GGA.

Calculated values
As for the calculated volume: 27.585 Å³ per atom. As for the total magnetization: 0.0 μB per cell. Its formation energy from the elements is -7.7 eV per formula unit.

```
data_Pm6Sn5Pd
_space_group_name_H-M_alt 'C 1 2/m 1'
_space_group_IT_number 12
_space_group_name_Hall '-C 2y'
_cell_length_a 5.7098
_cell_length_b 17.0242
_cell_length_c 6.8109
_cell_angle_alpha 90.00
_cell_angle_beta 90.12
_cell_angle_gamma 90.00
loop_
_atom_site_label
_atom_site_fract_x
_atom_site_fract_y
_atom_site_fract_z
Pm1 0.9999 0.1641 0.2460
Pm2 0.0006 0.5000 0.7521
Sn1 0.0000 0.0000 0.5000
Sn2 0.0000 0.3310 0.5000
Sn3 0.0000 0.3360 0.0000
Pd1 0.0000 0.0000 0.0000
```

---

Here is crystalline Pm8SnPd2 at its relaxed geometry from the Alexandria database. Energies are from PBE-GGA.

Calculated values
As for the calculated volume: 29.955 Å³ per atom. As for the total magnetization: 0.0 μB per cell. Its formation energy from the elements is -4.4 eV per formula unit.

```
data_Pm8SnPd2
_space_group_name_H-M_alt 'C 1 2/m 1'
_space_group_IT_number 12
_space_group_name_Hall '-C 2y'
_cell_length_a 18.7662
_cell_length_b 5.2419
_cell_length_c 7.1477
_cell_angle_alpha 90.00
_cell_angle_beta 110.40
_cell_angle_gamma 90.00
loop_
_atom_site_label
_atom_site_fract_x
_atom_site_fract_y
_atom_site_fract_z
Pm1 0.0305 0.0000 0.2754
Pm2 0.0959 0.5000 0.9769
Pm3 0.1777 0.5000 0.4980
Pm4 0.1970 0.0000 0.8386
Sn1 0.0000 0.5000 0.5000
Pd1 0.1723 0.0000 0.2216
```

---

Here is crystalline Pm6Sn12Pd at its relaxed geometry from the Alexandria database. Energies are from PBE-GGA.

Calculated values
As for the calculated volume: 27.685 Å³ per atom. As for the total magnetization: 0.0 μB per cell. Its formation energy from the elements is -10.8 eV per formula unit.

```
data_Pm6Sn12Pd
_space_group_name_H-M_alt 'R -3'
_space_group_IT_number 148
_space_group_name_Hall '-R 3'
_cell_length_a 12.2091
_cell_length_b 12.2091
_cell_length_c 12.2244
_cell_angle_alpha 90.00
_cell_angle_beta 90.00
_cell_angle_gamma 120.00
loop_
_atom_site_label
_atom_site_fract_x
_atom_site_fract_y
_atom_site_fract_z
Pm1 0.0007 0.5679 0.2511
Sn1 0.0615 0.8606 0.3516
Sn2 0.0625 0.1959 0.8552
Pd1 0.0000 0.0000 0.5000
```

---

Here is crystalline Pm2Sn5Pd3 at its relaxed geometry from the Alexandria database. Energies are from PBE-GGA.

Calculated values
As for the calculated volume: 22.837 Å³ per atom. As for the total magnetization: 0.0 μB per cell. Its formation energy from the elements is -7.1 eV per formula unit. Its relative energy among the computed polymorphs is 0.000 eV per atom.

```
data_Pm2Sn5Pd3
_space_group_name_H-M_alt 'C m c 21'
_space_group_IT_number 36
_space_group_name_Hall 'C 2c -2'
_cell_length_a 4.5945
_cell_length_b 26.7320
_cell_length_c 7.4376
_cell_angle_alpha 90.00
_cell_angle_beta 90.00
_cell_angle_gamma 90.00
loop_
_atom_site_label
_atom_site_fract_x
_atom_site_fract_y
_atom_site_fract_z
Pm1 0.0000 0.0233 0.0000
Pm2 0.0000 0.3269 0.9880
Sn1 0.0000 0.0968 0.6332
Sn2 0.0000 0.2042 0.1860
Sn3 0.0000 0.2113 0.7646
Sn4 0.0000 0.3806 0.5057
Sn5 0.0000 0.4516 0.8358
Pd1 0.0000 0.1056 0.2622
Pd2 0.0000 0.2777 0.4667
Pd3 0.0000 0.4493 0.2185
```

---

Here is crystalline Pm3SnPd at its relaxed geometry from the Alexandria database. Energies are from PBE-GGA.

Calculated values
As for the calculated volume: 27.532 Å³ per atom. As for the total magnetization: 0.8 μB per cell. Its formation energy from the elements is -2.7 eV per formula unit.

```
data_Pm3SnPd
_space_group_name_H-M_alt 'P m -3 m'
_space_group_IT_number 221
_space_group_name_Hall '-P 4 2 3'
_cell_length_a 7.4469
_cell_length_b 7.4469
_cell_length_c 7.4469
_cell_angle_alpha 90.00
_cell_angle_beta 90.00
_cell_angle_gamma 90.00
loop_
_atom_site_label
_atom_site_fract_x
_atom_site_fract_y
_atom_site_fract_z
Pm1 0.0000 0.0000 0.0000
Pm2 0.2660 0.2660 0.2660
Sn1 0.0000 0.0000 0.5000
Pd1 0.0000 0.5000 0.5000
```

---

Here is crystalline Pm4Sn2Pd at its relaxed geometry from the Alexandria database. Energies are from PBE-GGA.

Calculated values
As for the calculated volume: 29.461 Å³ per atom. As for the total magnetization: 0.0 μB per cell. Its formation energy from the elements is -4.6 eV per formula unit.

```
data_Pm4Sn2Pd
_space_group_name_H-M_alt 'C 1 2/m 1'
_space_group_IT_number 12
_space_group_name_Hall '-C 2y'
_cell_length_a 11.5837
_cell_length_b 4.7046
_cell_length_c 8.8679
_cell_angle_alpha 90.00
_cell_angle_beta 121.41
_cell_angle_gamma 90.00
loop_
_atom_site_label
_atom_site_fract_x
_atom_site_fract_y
_atom_site_fract_z
Pm1 0.0777 0.0000 0.3625
Pm2 0.1776 0.5000 0.0684
Sn1 0.1426 0.5000 0.6579
Pd1 0.0000 0.0000 0.0000
```

---

Here is crystalline PmSn2Pd6 at its relaxed geometry from the Alexandria database. Energies are from PBE-GGA.

Calculated values
As for the calculated volume: 21.223 Å³ per atom. As for the total magnetization: 0.0 μB per cell. Its formation energy from the elements is -4.6 eV per formula unit.

```
data_PmSn2Pd6
_space_group_name_H-M_alt 'P 6/m m m'
_space_group_IT_number 191
_space_group_name_Hall '-P 6 2'
_cell_length_a 5.5964
_cell_length_b 5.5964
_cell_length_c 7.0422
_cell_angle_alpha 90.00
_cell_angle_beta 90.00
_cell_angle_gamma 120.00
loop_
_atom_site_label
_atom_site_fract_x
_atom_site_fract_y
_atom_site_fract_z
Pm1 0.0000 0.0000 0.0000
Sn1 0.3333 0.6667 0.5000
Pd1 0.0000 0.5000 0.1932
```

---

Here is crystalline PmSn3Pd5 at its relaxed geometry from the Alexandria database. Energies are from PBE-GGA.

Calculated values
As for the calculated volume: 21.255 Å³ per atom. As for the total magnetization: 0.0 μB per cell. Its formation energy from the elements is -5.1 eV per formula unit.

```
data_PmSn3Pd5
_space_group_name_H-M_alt 'C m c m'
_space_group_IT_number 63
_space_group_name_Hall '-C 2c 2'
_cell_length_a 3.9583
_cell_length_b 14.2584
_cell_length_c 13.5578
_cell_angle_alpha 90.00
_cell_angle_beta 90.00
_cell_angle_gamma 90.00
loop_
_atom_site_label
_atom_site_fract_x
_atom_site_fract_y
_atom_site_fract_z
Pm1 0.0000 0.0968 0.2500
Sn1 0.0000 0.1405 0.7500
Sn2 0.0000 0.3781 0.5472
Pd1 0.0000 0.0000 0.0000
Pd2 0.0000 0.1963 0.5647
Pd3 0.0000 0.4528 0.1473
```